Compound: AcNiPd
Source: Alexandria
Functional: PBE
Structure: optimized geometry

abc: 4.210 4.210 8.305
angles: 104.68 104.68 90.00
Element x y z (fractional)
Ac 0.250 0.750 0.500
Ac 0.500 0.500 0.000
Ni 0.925 0.925 0.851
Ni 0.075 0.075 0.149
Pd 0.837 0.337 0.675
Pd 0.663 0.163 0.325

Summary:
As for the density of states at the Fermi level: 1.99 states/eV/f.u. The energy above the most stable polymorph in this dataset is 6.6 meV/atom. The calculation puts the energy of formation at -1.58 eV per formula unit. The calculation puts the spin magnetization at 0.00 μB/cell. As for the space-group type: I-4m2.

=====

Compound: Ac5Ni2Pd
Source: Alexandria
Functional: PBE
Structure: optimized geometry

abc: 8.090 8.091 9.346
angles: 115.73 115.40 90.00
Element x y z (fractional)
Ac 0.527 0.697 0.723
Ac 0.803 0.974 0.277
Ac 0.000 0.000 0.000
Ac 0.500 0.500 0.000
Ac 0.197 0.026 0.723
Ac 0.698 0.196 0.723
Ac 0.027 0.526 0.723
Ac 0.302 0.804 0.277
Ac 0.973 0.474 0.277
Ac 0.473 0.303 0.277
Ni 0.128 0.372 0.000
Ni 0.628 0.128 0.000
Ni 0.372 0.872 0.000
Ni 0.872 0.628 0.000
Pd 0.750 0.750 0.500
Pd 0.250 0.250 0.500

Summary:
As for the density of states at the Fermi level: 8.63 states/eV/f.u. The calculation puts the energy of formation at -2.19 eV per formula unit. The calculation puts the spin magnetization at 0.00 μB/cell. As for the space-group type: P-1.

=====

Compound: Ac8Ni2Pd3
Source: Alexandria
Functional: PBE
Structure: optimized geometry

abc: 7.410 8.785 8.785
angles: 59.70 72.77 72.77
Element x y z (fractional)
Ac 0.767 0.628 0.628
Ac 0.233 0.372 0.372
Ac 0.756 0.125 0.125
Ac 0.244 0.875 0.875
Ac 0.765 0.625 0.113
Ac 0.765 0.113 0.625
Ac 0.235 0.887 0.375
Ac 0.235 0.375 0.887
Ni 0.995 0.252 0.252
Ni 0.005 0.748 0.748
Pd 0.500 0.000 0.000
Pd 0.000 0.252 0.748
Pd 0.000 0.748 0.252

Summary:
As for the density of states at the Fermi level: 12.64 states/eV/f.u. The calculation puts the energy of formation at -5.39 eV per formula unit. The calculation puts the spin magnetization at 0.00 μB/cell. As for the space-group type: C2/m.

=====

Compound: Ac2Ni3PdPt12
Source: Alexandria
Functional: PBE
Structure: optimized geometry

abc: 8.032 8.032 8.032
angles: 61.07 61.07 61.07
Last column: magnetic moment on the atom in μB.
Element x y z (fractional)
Ac 0.617 0.617 0.617  0.02
Ac 0.383 0.383 0.383  0.02
Ni 0.500 0.000 0.000  0.83
Ni 0.000 0.500 0.000  0.83
Ni 0.000 0.000 0.500  0.83
Pd 0.000 0.000 0.000  0.06
Pt 0.363 0.363 0.892  0.20
Pt 0.872 0.872 0.384  0.10
Pt 0.384 0.872 0.872  0.10
Pt 0.892 0.363 0.363  0.20
Pt 0.872 0.384 0.872  0.10
Pt 0.363 0.892 0.363  0.20
Pt 0.637 0.637 0.108  0.20
Pt 0.128 0.128 0.616  0.10
Pt 0.616 0.128 0.128  0.10
Pt 0.108 0.637 0.637  0.20
Pt 0.128 0.616 0.128  0.10
Pt 0.637 0.108 0.637  0.20

Summary:
As for the density of states at the Fermi level: 21.18 states/eV/f.u. The calculation puts the energy of formation at 1.12 eV per formula unit. The calculation puts the spin magnetization at 4.49 μB/cell. As for the space-group type: R-3m.

=====

Compound: Ac6Ni2PdPt
Source: Alexandria
Functional: PBE
Structure: optimized geometry

abc: 7.572 7.574 8.211
angles: 62.54 62.54 59.97
Element x y z (fractional)
Ac 0.604 0.241 0.248
Ac 0.242 0.906 0.248
Ac 0.906 0.604 0.248
Ac 0.402 0.740 0.750
Ac 0.740 0.108 0.750
Ac 0.108 0.402 0.750
Ni 0.506 0.505 0.484
Ni 0.004 0.004 0.987
Pd 0.824 0.824 0.528
Pt 0.325 0.325 0.024

Summary:
As for the density of states at the Fermi level: 7.80 states/eV/f.u. The calculation puts the energy of formation at -4.69 eV per formula unit. The calculation puts the spin magnetization at 0.00 μB/cell. As for the space-group type: R3.

=====

Compound: Ac6NiPd2Pt
Source: Alexandria
Functional: PBE
Structure: optimized geometry

abc: 7.636 7.635 8.286
angles: 62.56 62.56 59.97
Element x y z (fractional)
Ac 0.589 0.230 0.252
Ac 0.230 0.929 0.252
Ac 0.929 0.589 0.252
Ac 0.420 0.727 0.755
Ac 0.727 0.098 0.755
Ac 0.098 0.420 0.755
Ni 0.328 0.327 0.017
Pd 0.509 0.508 0.475
Pd 0.006 0.007 0.981
Pt 0.826 0.826 0.521

Summary:
As for the density of states at the Fermi level: 8.00 states/eV/f.u. The calculation puts the energy of formation at -5.78 eV per formula unit. The calculation puts the spin magnetization at 0.00 μB/cell. As for the space-group type: R3.

=====

Compound: Ac2NiPdPt6
Source: Alexandria
Functional: PBE
Structure: optimized geometry

abc: 5.604 8.797 5.594
angles: 71.51 59.99 90.02
Element x y z (fractional)
Ac 0.795 0.386 0.409
Ac 0.205 0.614 0.591
Ni 0.000 0.000 0.000
Pd 0.500 0.500 0.000
Pt 0.244 0.230 0.511
Pt 0.756 0.770 0.986
Pt 0.259 0.770 0.986
Pt 0.741 0.230 0.014
Pt 0.244 0.230 0.014
Pt 0.756 0.770 0.489

Summary:
As for the density of states at the Fermi level: 5.38 states/eV/f.u. The calculation puts the energy of formation at -5.44 eV per formula unit. The calculation puts the spin magnetization at 0.00 μB/cell. As for the space-group type: C2/m.

=====

Compound: AcPuNiPd
Source: Alexandria
Functional: PBE
Structure: optimized geometry

abc: 5.111 5.111 5.111
angles: 60.00 60.00 60.00
Last column: magnetic moment on the atom in μB.
Element x y z (fractional)
Ni 0.250 0.250 0.250  -0.10
Ac 0.500 0.500 0.500  0.09
Pd 0.750 0.750 0.750  -0.01
Pu 0.000 0.000 0.000  5.39

Summary:
As for the density of states at the Fermi level: 14.69 states/eV/f.u. The calculation puts the energy of formation at -0.95 eV per formula unit. The calculation puts the spin magnetization at 5.82 μB/cell. As for the space-group type: F-43m.